Entry 1:
# MnCd2Cu2Au5 | the Alexandria database | GGA-PBE | relaxed
data_MnCd2Cu2Au5
_chemical_formula_sum 'Mn2 Cd4 Cu4 Au10'
_symmetry_space_group_name_H-M 'P 1'
_symmetry_Int_Tables_number 1
_cell_length_a 9.4350
_cell_length_b 9.4350
_cell_length_c 4.0223
_cell_angle_alpha 90.00
_cell_angle_beta 90.00
_cell_angle_gamma 90.00
loop_
_symmetry_equiv_pos_as_xyz
'x,y,z'
loop_
_atom_site_label
_atom_site_type_symbol
_atom_site_fract_x
_atom_site_fract_y
_atom_site_fract_z
Mn1 Mn 0.0000 0.0000 0.0000
Mn2 Mn 0.5000 0.5000 0.0000
Cd1 Cd 0.1712 0.3288 0.0000
Cd2 Cd 0.3288 0.8288 0.0000
Cd3 Cd 0.6712 0.1712 0.0000
Cd4 Cd 0.8288 0.6712 0.0000
Cu1 Cu 0.1243 0.6243 0.0000
Cu2 Cu 0.3757 0.1243 0.0000
Cu3 Cu 0.6243 0.8757 0.0000
Cu4 Cu 0.8757 0.3757 0.0000
Au1 Au 0.0000 0.5000 0.5000
Au2 Au 0.0844 0.8057 0.5000
Au3 Au 0.1943 0.0844 0.5000
Au4 Au 0.3057 0.5844 0.5000
Au5 Au 0.4156 0.3057 0.5000
Au6 Au 0.5000 0.0000 0.5000
Au7 Au 0.5844 0.6943 0.5000
Au8 Au 0.6943 0.4156 0.5000
Au9 Au 0.8057 0.9156 0.5000
Au10 Au 0.9156 0.1943 0.5000
# Magnetic moment   4.38 μB per formula unit
# Electronic total energy   -3.61 eV/atom
# ΔE_f   -49 meV/atom
# D(E_F)   7.38 states/eV/cell



Entry 2:
# CaHfOs3 | the Alexandria database | GGA-PBE | relaxed
data_CaHfOs3
_chemical_formula_sum 'Ca1 Hf1 Os3'
_symmetry_space_group_name_H-M 'P 1'
_symmetry_Int_Tables_number 1
_cell_length_a 4.8710
_cell_length_b 4.8710
_cell_length_c 4.8710
_cell_angle_alpha 90.00
_cell_angle_beta 90.00
_cell_angle_gamma 90.00
loop_
_symmetry_equiv_pos_as_xyz
'x,y,z'
loop_
_atom_site_label
_atom_site_type_symbol
_atom_site_fract_x
_atom_site_fract_y
_atom_site_fract_z
Ca1 Ca 0.0000 0.0000 0.0000
Hf1 Hf 0.5000 0.5000 0.5000
Os1 Os 0.0000 0.5000 0.5000
Os2 Os 0.5000 0.0000 0.5000
Os3 Os 0.5000 0.5000 0.0000
# Magnetic moment   1.22 μB per formula unit
# Electronic total energy   -7.53 eV/atom
# ΔE_f   1603 meV/atom
# D(E_F)   7.69 states/eV/cell
# Energy above the most stable polymorph in this dataset   0.00 kJ/mol of atoms



Entry 3:
# Zr4Mn | the Alexandria database | GGA-PBE | relaxed
data_Zr4Mn
_chemical_formula_sum 'Zr8 Mn2'
_symmetry_space_group_name_H-M 'P 1'
_symmetry_Int_Tables_number 1
_cell_length_a 6.8831
_cell_length_b 6.8831
_cell_length_c 6.8831
_cell_angle_alpha 60.00
_cell_angle_beta 60.00
_cell_angle_gamma 60.00
loop_
_symmetry_equiv_pos_as_xyz
'x,y,z'
loop_
_atom_site_label
_atom_site_type_symbol
_atom_site_fract_x
_atom_site_fract_y
_atom_site_fract_z
Zr1 Zr 0.2063 0.7646 0.7646
Zr2 Zr 0.2354 0.2354 0.2354
Zr3 Zr 0.2354 0.2354 0.7937
Zr4 Zr 0.2354 0.7937 0.2354
Zr5 Zr 0.7646 0.2063 0.7646
Zr6 Zr 0.7646 0.7646 0.2063
Zr7 Zr 0.7646 0.7646 0.7646
Zr8 Zr 0.7937 0.2354 0.2354
Mn1 Mn 0.3750 0.3750 0.3750
Mn2 Mn 0.6250 0.6250 0.6250
# Magnetic moment   0.00 μB per formula unit
# Electronic total energy   -8.00 eV/atom
# ΔE_f   673 meV/atom
# D(E_F)   16.22 states/eV/cell
# Energy above the most stable polymorph in this dataset   66.28 kJ/mol of atoms



D(E_F) of number 3 (Zr4Mn)?
16.22 states/eV/cell



Number 2 is which compound?
CaHfOs3



Please write out number 1 again, unchanged.
# MnCd2Cu2Au5 | the Alexandria database | GGA-PBE | relaxed
data_MnCd2Cu2Au5
_chemical_formula_sum 'Mn2 Cd4 Cu4 Au10'
_symmetry_space_group_name_H-M 'P 1'
_symmetry_Int_Tables_number 1
_cell_length_a 9.4350
_cell_length_b 9.4350
_cell_length_c 4.0223
_cell_angle_alpha 90.00
_cell_angle_beta 90.00
_cell_angle_gamma 90.00
loop_
_symmetry_equiv_pos_as_xyz
'x,y,z'
loop_
_atom_site_label
_atom_site_type_symbol
_atom_site_fract_x
_atom_site_fract_y
_atom_site_fract_z
Mn1 Mn 0.0000 0.0000 0.0000
Mn2 Mn 0.5000 0.5000 0.0000
Cd1 Cd 0.1712 0.3288 0.0000
Cd2 Cd 0.3288 0.8288 0.0000
Cd3 Cd 0.6712 0.1712 0.0000
Cd4 Cd 0.8288 0.6712 0.0000
Cu1 Cu 0.1243 0.6243 0.0000
Cu2 Cu 0.3757 0.1243 0.0000
Cu3 Cu 0.6243 0.8757 0.0000
Cu4 Cu 0.8757 0.3757 0.0000
Au1 Au 0.0000 0.5000 0.5000
Au2 Au 0.0844 0.8057 0.5000
Au3 Au 0.1943 0.0844 0.5000
Au4 Au 0.3057 0.5844 0.5000
Au5 Au 0.4156 0.3057 0.5000
Au6 Au 0.5000 0.0000 0.5000
Au7 Au 0.5844 0.6943 0.5000
Au8 Au 0.6943 0.4156 0.5000
Au9 Au 0.8057 0.9156 0.5000
Au10 Au 0.9156 0.1943 0.5000
# Magnetic moment   4.38 μB per formula unit
# Electronic total energy   -3.61 eV/atom
# ΔE_f   -49 meV/atom
# D(E_F)   7.38 states/eV/cell